# 1
A plane-wave DFT calculation with PBE-GGA was carried out for a geometry-optimized HfTe2Pt structure.

```
HfTe2Pt
1.0
3.788 0.000 0.000
-1.894 3.281 0.000
0.000 0.000 26.387
Hf Te Pt
3 6 3
Direct
0.000 0.000 0.000
0.333 0.667 0.667
0.667 0.333 0.333
0.000 0.000 0.403
0.000 0.000 0.597
0.333 0.667 0.070
0.333 0.667 0.263
0.667 0.333 0.737
0.667 0.333 0.930
0.000 0.000 0.500
0.333 0.667 0.167
0.667 0.333 0.833
```

Calculated values
Energy above the lowest structure with this stoichiometry ... 0 meV per atom
SG ... R-3m, No. 166

---

# 2
A plane-wave DFT calculation with PBE-GGA was carried out for a geometry-optimized Hf2TePt2 structure.

```
Hf2TePt2
1.0
7.792 0.000 0.000
0.000 7.792 0.000
0.000 0.000 3.368
Hf Te Pt
4 2 4
Direct
0.158 0.342 0.000
0.342 0.842 0.000
0.658 0.158 0.000
0.842 0.658 0.000
0.000 0.000 0.000
0.500 0.500 0.000
0.131 0.631 0.500
0.369 0.131 0.500
0.631 0.869 0.500
0.869 0.369 0.500
```

Calculated values
Energy above the lowest structure with this stoichiometry ... 60 meV per atom
SG ... P4/mbm, No. 127

---

# 3
A plane-wave DFT calculation with PBE-GGA was carried out for a geometry-optimized HfTePt structure.

```
HfTePt
1.0
1.921 1.109 11.959
-1.921 1.109 11.959
0.000 -2.218 11.959
Hf Te Pt
2 2 2
Direct
0.065 0.065 0.065
0.935 0.935 0.935
0.216 0.216 0.216
0.784 0.784 0.784
0.355 0.355 0.355
0.645 0.645 0.645
```

Calculated values
SG ... R-3m, No. 166
E ... -42.6 eV per cell

---

# 4
A plane-wave DFT calculation with PBE-GGA was carried out for a geometry-optimized HfTe3Pt structure.

```
HfTe3Pt
1.0
5.228 0.000 0.000
0.000 5.228 0.000
0.000 0.000 5.228
Hf Te Pt
1 3 1
Direct
0.000 0.000 0.000
0.000 0.500 0.500
0.500 0.000 0.500
0.500 0.500 0.000
0.500 0.500 0.500
```

Calculated values
Energy above the lowest structure with this stoichiometry ... 0 meV per atom
SG ... Pm-3m, No. 221

---

Please write out number 4 again, unchanged.
A plane-wave DFT calculation with PBE-GGA was carried out for a geometry-optimized HfTe3Pt structure.

```
HfTe3Pt
1.0
5.228 0.000 0.000
0.000 5.228 0.000
0.000 0.000 5.228
Hf Te Pt
1 3 1
Direct
0.000 0.000 0.000
0.000 0.500 0.500
0.500 0.000 0.500
0.500 0.500 0.000
0.500 0.500 0.500
```

Calculated values
Energy above the lowest structure with this stoichiometry ... 0 meV per atom
SG ... Pm-3m, No. 221